Compound: CrCd2H
Source: Alexandria via LeMat-Bulk
Functional: PBE
Structure: optimized geometry

a = 6.596 Å, b = 6.596 Å, c = 6.596 Å
α = 90.00°, β = 90.00°, γ = 90.00°
Space group Fm-3m (No. 225)
Inequivalent atoms, fractional coordinates:
Cr 0.000 0.000 0.000 (multiplicity 4)
Cd 0.250 0.250 0.250 (multiplicity 8)
H 0.000 0.000 0.500 (multiplicity 4)

Values from the calculation:
The calculation puts the raw total energy at -2.893 eV/atom. The value obtained for the total magnetization is 4.40 μB per formula unit.